Density functional theory data (PBE+U) for crystalline NiAgHgF6 at its relaxed geometry.

Unit cell a=5.6781 b=5.6781 c=9.2129 alpha=90.00 beta=90.00 gamma=120.00
Fractional coordinates of all 18 atoms:
F: 0.9568 0.6364 0.3698
Ag: 0.0000 0.0000 0.0000
F: 0.3636 0.0432 0.1302
Ni: 0.6667 0.3333 0.2500
F: 0.3204 0.3636 0.8698
F: 0.6796 0.0432 0.3698
F: 0.6796 0.6364 0.1302
F: 0.3204 0.9568 0.6302
F: 0.0432 0.6796 0.8698
F: 0.3636 0.3204 0.3698
Ni: 0.3333 0.6667 0.7500
F: 0.0432 0.3636 0.6302
F: 0.9568 0.3204 0.1302
F: 0.6364 0.6796 0.6302
Hg: 0.6667 0.3333 0.7500
Ag: 0.0000 0.0000 0.5000
Hg: 0.3333 0.6667 0.2500
F: 0.6364 0.9568 0.8698

Output
E: -3.41 eV per atom
Total moment: 0.99 μB per formula unit
Symmetry: No. 163